#one
Ba5Al4 after structural relaxation, computed with PBE.

Properties
Fermi-level density of states	1.580	states/eV/atom
theoretical density	3.80	g/cm³
crystal system	hexagonal

```
18
Lattice="10.2440 0.0000 0.0000 -5.1220 8.8716 0.0000 0.0000 0.0000 7.6474" Properties=species:S:1:pos:R:3 pbc="T T T"
Ba -1.4874 2.5762 1.9118
Ba -3.6347 6.2954 5.7355
Ba 2.9747 0.0000 1.9118
Ba 1.4874 2.5762 5.7355
Ba 0.0000 5.9144 0.0000
Ba 0.0000 5.9144 3.8237
Ba 5.1220 2.9572 0.0000
Ba 5.1220 2.9572 3.8237
Ba 7.2693 0.0000 5.7355
Ba 3.6347 6.2954 1.9118
Al 0.0000 0.0000 0.0000
Al 0.0000 0.0000 3.8237
Al -1.8683 3.2360 5.7355
Al -3.2537 5.6355 1.9118
Al 3.7367 0.0000 5.7355
Al 1.8683 3.2360 1.9118
Al 6.5074 0.0000 1.9118
Al 3.2537 5.6355 5.7355
```

---

#two
Ba5Al4 after structural relaxation, computed with PBE.

Properties
Fermi-level density of states	0.834	states/eV/atom
theoretical density	4.21	g/cm³
crystal system	tetragonal

```
9
Lattice="-5.3912 5.3912 2.6977 5.3912 -5.3912 2.6977 5.3912 5.3912 -2.6977" Properties=species:S:1:pos:R:3 pbc="T T T"
Ba 0.0000 0.0000 0.0000
Ba 3.4943 3.4943 0.0000
Ba 1.8968 -1.8968 2.6977
Ba -1.8968 1.8968 2.6977
Ba 1.8968 1.8968 2.6977
Al 4.0369 0.0000 0.0000
Al 6.7454 0.0000 0.0000
Al 0.0000 4.0369 0.0000
Al 0.0000 6.7454 0.0000
```

---

Q: Which of them is the least stable? A: #two.

---

#one
Ba2BeAl after structural relaxation, computed with PBE.

Properties
Fermi-level density of states	0.825	states/eV/atom
theoretical density	3.82	g/cm³
crystal system	orthorhombic

```
8
Lattice="8.1307 0.0000 0.0000 0.0000 8.1535 0.0000 0.0000 0.0000 4.0750" Properties=species:S:1:pos:R:3 pbc="T T T"
Ba 2.0327 2.0384 0.0000
Ba 2.0327 6.1151 0.0000
Ba 6.0980 2.0384 0.0000
Ba 6.0980 6.1151 0.0000
Be 0.0000 0.0000 2.0375
Be 4.0653 4.0767 2.0375
Al 0.0000 4.0767 2.0375
Al 4.0653 0.0000 2.0375
```

---

#two
Ba2BeAl after structural relaxation, computed with PBE.

Properties
Fermi-level density of states	1.050	states/eV/atom
theoretical density	3.67	g/cm³
crystal system	tetragonal

```
16
Lattice="9.0997 0.0000 0.0000 0.0000 9.0997 0.0000 0.0000 0.0000 6.7855" Properties=species:S:1:pos:R:3 pbc="T T T"
Ba 1.8554 2.2749 0.8482
Ba 2.2749 6.4052 2.5446
Ba 2.2749 7.2443 5.9373
Ba 2.6945 2.2749 4.2409
Ba 6.4052 6.8247 4.2409
Ba 6.8247 1.8554 5.9373
Ba 6.8247 2.6945 2.5446
Ba 7.2443 6.8247 0.8482
Be 0.0000 0.0000 0.0000
Be 0.0000 4.5498 1.6964
Be 4.5498 0.0000 5.0891
Be 4.5498 4.5498 3.3928
Al 0.0000 0.0000 3.3928
Al 0.0000 4.5498 5.0891
Al 4.5498 0.0000 1.6964
Al 4.5498 4.5498 0.0000
```

---

#three
Ba2BeAl after structural relaxation, computed with PBE.

Properties
Fermi-level density of states	1.031	states/eV/atom
theoretical density	3.44	g/cm³
crystal system	orthorhombic

```
8
Lattice="4.3996 0.0000 0.0000 0.0000 4.1115 0.0000 0.0000 0.0000 16.5803" Properties=species:S:1:pos:R:3 pbc="T T T"
Ba 0.0000 0.0000 0.0000
Ba 0.0000 2.0557 8.2902
Ba 2.1998 0.0000 4.5343
Ba 2.1998 2.0557 12.8244
Be 2.1998 0.0000 10.1005
Be 2.1998 2.0557 1.8103
Al 0.0000 0.0000 10.9968
Al 0.0000 2.0557 2.7066
```

---

#four
Ba2BeAl after structural relaxation, computed with PBE.

Properties
Fermi-level density of states	1.037	states/eV/atom
theoretical density	3.39	g/cm³
crystal system	trigonal

```
12
Lattice="4.2341 0.0000 0.0000 -2.1170 3.6668 0.0000 0.0000 0.0000 29.4186" Properties=species:S:1:pos:R:3 pbc="T T T"
Ba 0.0000 0.0000 7.1829
Ba 0.0000 0.0000 22.2357
Ba 0.0000 2.4445 12.4295
Ba 0.0000 2.4445 26.7953
Ba 2.1170 1.2223 2.6233
Ba 2.1170 1.2223 16.9891
Be 0.0000 0.0000 14.7093
Be 0.0000 2.4445 4.9031
Be 2.1170 1.2223 24.5155
Al 0.0000 0.0000 0.0000
Al 0.0000 2.4445 19.6124
Al 2.1170 1.2223 9.8062
```

---

Q: Which of them is the least stable? A: #two.

---

#one
Ba2BeAl after structural relaxation, computed with PBE.

Properties
Fermi-level density of states	0.878	states/eV/atom
theoretical density	3.82	g/cm³
crystal system	cubic

```
16
Lattice="8.1445 0.0000 0.0000 0.0000 8.1445 0.0000 0.0000 0.0000 8.1445" Properties=species:S:1:pos:R:3 pbc="T T T"
Ba 2.0361 2.0361 2.0361
Ba 2.0361 2.0361 6.1083
Ba 2.0361 6.1083 2.0361
Ba 2.0361 6.1083 6.1083
Ba 6.1083 2.0361 2.0361
Ba 6.1083 2.0361 6.1083
Ba 6.1083 6.1083 2.0361
Ba 6.1083 6.1083 6.1083
Be 0.0000 0.0000 0.0000
Be 0.0000 4.0722 4.0722
Be 4.0722 0.0000 4.0722
Be 4.0722 4.0722 0.0000
Al 0.0000 0.0000 4.0722
Al 0.0000 4.0722 0.0000
Al 4.0722 0.0000 0.0000
Al 4.0722 4.0722 4.0722
```

---

#two
Ba2BeAl after structural relaxation, computed with PBE.

Properties
Fermi-level density of states	0.858	states/eV/atom
theoretical density	4.16	g/cm³
crystal system	tetragonal

```
8
Lattice="5.0627 0.0000 0.0000 0.0000 5.0627 0.0000 0.0000 0.0000 9.6785" Properties=species:S:1:pos:R:3 pbc="T T T"
Ba 0.0000 0.0000 0.0000
Ba 0.0000 2.5313 2.4196
Ba 2.5313 0.0000 7.2589
Ba 2.5313 2.5313 4.8392
Be 0.0000 2.5313 7.2589
Be 2.5313 0.0000 2.4196
Al 0.0000 0.0000 4.8392
Al 2.5313 2.5313 0.0000
```

---

Q: Which of them is the least stable? A: #two.

---

#one
Ba2BeAl after structural relaxation, computed with PBE.

Properties
Fermi-level density of states	1.019	states/eV/atom
theoretical density	3.96	g/cm³
crystal system	orthorhombic

```
8
Lattice="5.1782 0.0000 0.0000 0.0000 5.1925 0.0000 0.0000 0.0000 9.7007" Properties=species:S:1:pos:R:3 pbc="T T T"
Ba 0.0000 0.0000 0.0000
Ba 0.0000 2.5963 3.9441
Ba 2.5891 0.0000 3.9441
Ba 2.5891 2.5963 0.0000
Be 0.0000 0.0000 6.3407
Be 2.5891 2.5963 6.3407
Al 0.0000 2.5963 7.2358
Al 2.5891 0.0000 7.2358
```

---

#two
Ba2BeAl after structural relaxation, computed with PBE.

Properties
Fermi-level density of states	0.793	states/eV/atom
theoretical density	4.28	g/cm³
crystal system	cubic

```
16
Lattice="7.8383 0.0000 0.0000 0.0000 7.8383 0.0000 0.0000 0.0000 7.8383" Properties=species:S:1:pos:R:3 pbc="T T T"
Ba 0.0000 0.0000 0.0000
Ba 0.0000 3.9192 3.9192
Ba 1.9596 1.9596 1.9596
Ba 1.9596 5.8788 5.8788
Ba 3.9192 0.0000 3.9192
Ba 3.9192 3.9192 0.0000
Ba 5.8788 1.9596 5.8788
Ba 5.8788 5.8788 1.9596
Be 0.0000 0.0000 3.9192
Be 0.0000 3.9192 0.0000
Be 3.9192 0.0000 0.0000
Be 3.9192 3.9192 3.9192
Al 1.9596 1.9596 5.8788
Al 1.9596 5.8788 1.9596
Al 5.8788 1.9596 1.9596
Al 5.8788 5.8788 5.8788
```

---

Q: Which of them is the least stable? A: #two.

---

#one
BaBeAl3 after structural relaxation, computed with PBE.

Properties
Fermi-level density of states	1.876	states/eV/atom
theoretical density	1.66	g/cm³
crystal system	cubic

```
5
Lattice="6.0973 0.0000 0.0000 0.0000 6.0973 0.0000 0.0000 0.0000 6.0973" Properties=species:S:1:pos:R:3 pbc="T T T"
Ba 0.0000 0.0000 0.0000
Be 3.0487 3.0487 3.0487
Al 0.0000 0.0000 3.0487
Al 0.0000 3.0487 0.0000
Al 3.0487 0.0000 0.0000
```

---

#two
BaBeAl3 after structural relaxation, computed with PBE.

Properties
Fermi-level density of states	0.535	states/eV/atom
theoretical density	3.37	g/cm³
crystal system	cubic

```
5
Lattice="4.8187 0.0000 0.0000 0.0000 4.8187 0.0000 0.0000 0.0000 4.8187" Properties=species:S:1:pos:R:3 pbc="T T T"
Ba 0.0000 0.0000 0.0000
Be 2.4094 2.4094 2.4094
Al 0.0000 2.4094 2.4094
Al 2.4094 0.0000 2.4094
Al 2.4094 2.4094 0.0000
```

---

Q: Which of them is the least stable? A: #one.

---

#one
BaBe3Al after structural relaxation, computed with PBE.

Properties
Fermi-level density of states	1.223	states/eV/atom
theoretical density	1.95	g/cm³
crystal system	cubic

```
5
Lattice="5.4608 0.0000 0.0000 0.0000 5.4608 0.0000 0.0000 0.0000 5.4608" Properties=species:S:1:pos:R:3 pbc="T T T"
Ba 0.0000 0.0000 0.0000
Be 0.0000 0.0000 2.7304
Be 0.0000 2.7304 0.0000
Be 2.7304 0.0000 0.0000
Al 2.7304 2.7304 2.7304
```

---

#two
BaBe3Al after structural relaxation, computed with PBE.

Properties
Fermi-level density of states	0.636	states/eV/atom
theoretical density	3.16	g/cm³
crystal system	cubic

```
5
Lattice="4.6498 0.0000 0.0000 0.0000 4.6498 0.0000 0.0000 0.0000 4.6498" Properties=species:S:1:pos:R:3 pbc="T T T"
Ba 0.0000 0.0000 0.0000
Be 0.0000 2.3249 2.3249
Be 2.3249 0.0000 2.3249
Be 2.3249 2.3249 0.0000
Al 2.3249 2.3249 2.3249
```

---

Q: Which of them is the least stable? A: #one.

---

#one
Ba2AlBi2 after structural relaxation, computed with PBE.

Properties
Fermi-level density of states	0.529	states/eV/atom
theoretical density	6.29	g/cm³
crystal system	tetragonal

```
10
Lattice="8.5377 0.0000 0.0000 0.0000 8.5377 0.0000 0.0000 0.0000 5.2151" Properties=species:S:1:pos:R:3 pbc="T T T"
Ba 1.5040 2.7648 0.0000
Ba 2.7648 7.0337 0.0000
Ba 5.7729 1.5040 0.0000
Ba 7.0337 5.7729 0.0000
Al 0.0000 0.0000 2.6076
Al 4.2689 4.2689 2.6076
Bi 1.0966 5.3655 2.6076
Bi 3.1723 1.0966 2.6076
Bi 5.3655 7.4411 2.6076
Bi 7.4411 3.1723 2.6076
```

---

#two
Ba2AlBi2 after structural relaxation, computed with PBE.

Properties
Fermi-level density of states	0.247	states/eV/atom
theoretical density	5.88	g/cm³
crystal system	tetragonal

```
10
Lattice="10.0470 0.0000 0.0000 0.0000 10.0470 0.0000 0.0000 0.0000 4.0280" Properties=species:S:1:pos:R:3 pbc="T T T"
Ba 1.3503 3.6732 0.0000
Ba 3.6732 8.6967 0.0000
Ba 6.3737 1.3503 0.0000
Ba 8.6967 6.3737 0.0000
Al 0.0000 0.0000 0.0000
Al 5.0235 5.0235 0.0000
Bi 1.6805 6.7039 2.0140
Bi 3.3430 1.6805 2.0140
Bi 6.7039 8.3665 2.0140
Bi 8.3665 3.3430 2.0140
```

---

Q: Which of them is the least stable? A: #two.

---

#one
Ba2AlBi2 after structural relaxation, computed with PBE.

Properties
Fermi-level density of states	0.786	states/eV/atom
theoretical density	5.79	g/cm³
crystal system	tetragonal

```
10
Lattice="4.5273 0.0000 0.0000 0.0000 4.5273 0.0000 0.0000 0.0000 20.1535" Properties=species:S:1:pos:R:3 pbc="T T T"
Ba 0.0000 0.0000 2.0779
Ba 0.0000 0.0000 18.0756
Ba 2.2636 2.2636 7.9988
Ba 2.2636 2.2636 12.1546
Al 0.0000 0.0000 10.0767
Al 2.2636 2.2636 0.0000
Bi 0.0000 2.2636 5.0384
Bi 0.0000 2.2636 15.1151
Bi 2.2636 0.0000 5.0384
Bi 2.2636 0.0000 15.1151
```

---

#two
Ba2AlBi2 after structural relaxation, computed with PBE.

Properties
Fermi-level density of states	0.577	states/eV/atom
theoretical density	6.02	g/cm³
crystal system	monoclinic

```
10
Lattice="5.2046 -7.3290 0.0000 5.2046 7.3290 0.0000 -5.0960 0.0000 5.2046" Properties=species:S:1:pos:R:3 pbc="T T T"
Ba 1.0636 2.0015 1.0429
Ba -1.4844 -2.0015 3.6453
Ba 6.7976 2.0015 1.5594
Ba 4.2496 -2.0015 4.1617
Al 3.9306 -0.0038 1.3012
Al 1.3826 0.0038 3.9035
Bi -1.0068 1.7074 4.1096
Bi 1.5412 -1.7074 1.5073
Bi 3.7720 1.7074 3.6974
Bi 6.3200 -1.7074 1.0951
```

---

Q: Which of them is the least stable? A: #one.

---

#one
Ba3Al2Bi4 after structural relaxation, computed with PBE.

Properties
theoretical density	6.08	g/cm³
crystal system	monoclinic

```
18
Lattice="7.2957 -5.8413 0.0000 7.2957 5.8413 0.0000 -1.1456 0.0000 8.3412" Properties=species:S:1:pos:R:3 pbc="T T T"
Ba 6.4365 4.7214 6.2559
Ba 4.7539 1.3660 3.0977
Ba 4.1811 -1.3660 7.2683
Ba 9.2647 1.3660 1.0729
Ba 8.6919 -1.3660 5.2435
Ba 7.0093 -4.7214 2.0853
Al 1.9020 1.4563 7.8270
Al 2.4747 -1.4563 3.6565
Al 10.9711 1.4563 4.6847
Al 11.5438 -1.4563 0.5141
Bi 1.7541 0.9173 5.0201
Bi 4.6507 2.1707 8.0927
Bi 2.3269 -0.9173 0.8495
Bi 8.2223 2.1707 4.4190
Bi 5.2235 -2.1707 3.9222
Bi 11.1189 0.9173 7.4917
Bi 8.7951 -2.1707 0.2484
Bi 11.6917 -0.9173 3.3211
```

---

#two
Ba3Al2Bi4 after structural relaxation, computed with PBE.

Properties
Fermi-level density of states	0.360	states/eV/atom
theoretical density	6.14	g/cm³
crystal system	monoclinic

```
18
Lattice="8.3877 -5.0875 0.0000 8.3877 5.0875 0.0000 -1.0253 0.0000 8.2474" Properties=species:S:1:pos:R:3 pbc="T T T"
Ba 7.6188 4.7792 6.1856
Ba 5.4041 0.9043 5.3708
Ba 5.9167 -0.9043 1.2471
Ba 9.8335 0.9043 7.0003
Ba 10.3461 -0.9043 2.8766
Ba 8.1314 -4.7792 2.0619
Al 2.1759 1.6374 8.1167
Al 2.6885 -1.6374 3.9930
Al 13.0616 1.6374 4.2544
Al 13.5743 -1.6374 0.1307
Bi 3.1852 0.8499 2.6687
Bi 7.7465 2.1974 0.4858
Bi 2.6725 -0.8499 6.7924
Bi 8.5163 2.1974 3.6379
Bi 7.2339 -2.1974 4.6095
Bi 13.0777 0.8499 1.4550
Bi 8.0037 -2.1974 7.7616
Bi 12.5650 -0.8499 5.5787
```

---

Q: Which of them is the least stable? A: #two.

---

#one
BaAlBi after structural relaxation, computed with PBE.

Properties
Fermi-level density of states	0.065	states/eV/atom
theoretical density	5.82	g/cm³
crystal system	trigonal

```
3
Lattice="4.7425 0.0000 0.0000 -2.3713 4.1071 0.0000 0.0000 0.0000 5.4662" Properties=species:S:1:pos:R:3 pbc="T T T"
Ba 0.0000 0.0000 0.0000
Al 2.3713 1.3690 2.0169
Bi 0.0000 2.7381 3.0713
```

---

#two
BaAlBi after structural relaxation, computed with PBE.

Properties
Fermi-level density of states	0.223	states/eV/atom
theoretical density	5.42	g/cm³
crystal system	monoclinic

```
12
Lattice="13.0735 0.0000 0.0000 0.0000 4.6415 0.0000 -0.3574 0.0000 7.5399" Properties=species:S:1:pos:R:3 pbc="T T T"
Ba 1.7335 0.0000 1.9665
Ba 4.4459 2.3208 5.5734
Ba 8.2702 2.3208 1.9665
Ba 10.9826 0.0000 5.5734
Al 0.8434 2.3208 4.4927
Al 5.3360 0.0000 3.0472
Al 7.3801 0.0000 4.4927
Al 11.8727 2.3208 3.0472
Bi 1.6298 0.0000 5.8601
Bi 4.5496 2.3208 1.6798
Bi 8.1665 2.3208 5.8601
Bi 11.0863 0.0000 1.6798
```

---

Q: Which of them is the least stable? A: #one.

---

#one
BaAlBr2 after structural relaxation, computed with PBE.

Properties
Fermi-level density of states	0.715	states/eV/atom
theoretical density	4.21	g/cm³
crystal system	tetragonal

```
8
Lattice="5.3800 0.0000 0.0000 0.0000 5.3800 0.0000 0.0000 0.0000 8.8351" Properties=species:S:1:pos:R:3 pbc="T T T"
Ba 0.0000 0.0000 0.0000
Ba 2.6900 2.6900 4.4175
Al 0.0000 0.0000 4.4175
Al 2.6900 2.6900 0.0000
Br 0.0000 2.6900 2.2088
Br 0.0000 2.6900 6.6263
Br 2.6900 0.0000 2.2088
Br 2.6900 0.0000 6.6263
```

---

#two
BaAlBr2 after structural relaxation, computed with PBE.

Properties
Fermi-level density of states	1.000	states/eV/atom
theoretical density	4.19	g/cm³
crystal system	cubic

```
16
Lattice="8.0112 0.0000 0.0000 0.0000 8.0112 0.0000 0.0000 0.0000 8.0112" Properties=species:S:1:pos:R:3 pbc="T T T"
Ba 0.0000 0.0000 0.0000
Ba 0.0000 4.0056 4.0056
Ba 4.0056 0.0000 4.0056
Ba 4.0056 4.0056 0.0000
Al 0.0000 0.0000 4.0056
Al 0.0000 4.0056 0.0000
Al 4.0056 0.0000 0.0000
Al 4.0056 4.0056 4.0056
Br 2.0028 2.0028 2.0028
Br 2.0028 2.0028 6.0084
Br 2.0028 6.0084 2.0028
Br 2.0028 6.0084 6.0084
Br 6.0084 2.0028 2.0028
Br 6.0084 2.0028 6.0084
Br 6.0084 6.0084 2.0028
Br 6.0084 6.0084 6.0084
```

---

#three
BaAlBr2 after structural relaxation, computed with PBE.

Properties
Fermi-level density of states	0.567	states/eV/atom
theoretical density	2.95	g/cm³
crystal system	trigonal

```
12
Lattice="4.6909 0.0000 0.0000 -2.3455 4.0625 0.0000 0.0000 0.0000 28.7510" Properties=species:S:1:pos:R:3 pbc="T T T"
Ba 0.0000 0.0000 0.0000
Ba 0.0000 2.7083 19.1674
Ba 2.3455 1.3542 9.5837
Al 0.0000 0.0000 14.3755
Al 0.0000 2.7083 4.7918
Al 2.3455 1.3542 23.9592
Br 0.0000 0.0000 3.0987
Br 0.0000 0.0000 25.6524
Br 0.0000 2.7083 16.0687
Br 0.0000 2.7083 22.2660
Br 2.3455 1.3542 6.4850
Br 2.3455 1.3542 12.6823
```

---

#four
BaAlBr2 after structural relaxation, computed with PBE.

Properties
Fermi-level density of states	0.527	states/eV/atom
theoretical density	3.75	g/cm³
crystal system	monoclinic

```
8
Lattice="9.9077 0.0000 0.0000 0.0000 4.5171 0.0000 -1.1469 0.0000 6.4168" Properties=species:S:1:pos:R:3 pbc="T T T"
Ba 0.0000 0.0000 0.0000
Ba 4.9538 2.2586 0.0000
Al -0.5734 2.2586 3.2084
Al 4.3804 0.0000 3.2084
Br 1.8839 2.2586 1.5208
Br 1.9231 0.0000 4.8961
Br 6.8377 0.0000 1.5208
Br 6.8769 2.2586 4.8961
```

---

Q: Which of them is the least stable? A: #three.